Entry 1:
A plane-wave DFT calculation with meta-GGA SCAN was carried out for a crystal of FeAg2GeIr relaxed with PBEsol.

## Properties
Magnetic moment ... 3.90 μB/cell
Energy of formation ... 6.441 eV/f.u.
Density of states at the Fermi level ... 4.152 states/eV/f.u.

Cell and atoms, written as CIF:
```
data_FeAg2GeIr
_chemical_formula_sum 'Fe1 Ag2 Ge1 Ir1'
_space_group_name_H-M_alt 'P 4/m m m'
_space_group_IT_number 123
_space_group_name_Hall '-P 4 2'
_cell_length_a 4.576
_cell_length_b 4.576
_cell_length_c 4.349
_cell_angle_alpha 90.00
_cell_angle_beta 90.00
_cell_angle_gamma 90.00
loop_
_atom_site_label
_atom_site_fract_x
_atom_site_fract_y
_atom_site_fract_z
Fe1 0.000 0.000 0.000
Ag1 0.000 0.500 0.500
Ge1 0.000 0.000 0.500
Ir1 0.500 0.500 0.000
```

***

Entry 2:
A plane-wave DFT calculation with meta-GGA SCAN was carried out for a crystal of CuSi2As relaxed with PBEsol.

## Properties
Uncorrected formation energy ... 0.46 eV/atom
Offset from the most stable computed form ... 0.0 meV per atom
Magnetic moment ... 0.00 μB/cell
Density of states at the Fermi level ... 1.307 states/eV/f.u.

Cell and atoms, written as CIF:
```
data_CuSi2As
_chemical_formula_sum 'Cu3 Si6 As3'
_space_group_name_H-M_alt 'R -3 m'
_space_group_IT_number 166
_space_group_name_Hall '-R 3 2"'
_cell_length_a 2.7711
_cell_length_b 2.7711
_cell_length_c 26.4487
_cell_angle_alpha 90.00
_cell_angle_beta 90.00
_cell_angle_gamma 120.00
loop_
_atom_site_label
_atom_site_fract_x
_atom_site_fract_y
_atom_site_fract_z
Cu1 0.0000 0.0000 0.0000
Si1 0.0000 0.0000 0.2600
As1 0.0000 0.0000 0.5000
```

***

Entry 3:
A plane-wave DFT calculation with meta-GGA SCAN was carried out for a crystal of KRbCd2H relaxed with PBEsol.

## Properties
Magnetic moment ... 0.00 μB/cell
Raw total energy ... -18.51 eV/atom
Density of states at the Fermi level ... 1.459 states/eV/f.u.

Cell and atoms, written as CIF:
```
data_KRbCd2H
_chemical_formula_sum 'K1 Rb1 Cd2 H1'
_space_group_name_H-M_alt 'P 4/m m m'
_space_group_IT_number 123
_space_group_name_Hall '-P 4 2'
_cell_length_a 5.530
_cell_length_b 5.530
_cell_length_c 4.978
_cell_angle_alpha 90.00
_cell_angle_beta 90.00
_cell_angle_gamma 90.00
loop_
_atom_site_label
_atom_site_fract_x
_atom_site_fract_y
_atom_site_fract_z
K1 0.000 0.000 0.000
Rb1 0.500 0.500 0.000
Cd1 0.000 0.500 0.500
H1 0.000 0.000 0.500
```

***

Entry 4:
A plane-wave DFT calculation with meta-GGA SCAN was carried out for a crystal of Ca2TlBr relaxed with PBEsol.

## Properties
Uncorrected formation energy ... -0.96 eV/atom
Offset from the most stable computed form ... 156.9 meV per atom
Magnetic moment ... 0.66 μB/cell
Density of states at the Fermi level ... 3.503 states/eV/f.u.

Cell and atoms, written as CIF:
```
data_Ca2TlBr
_chemical_formula_sum 'Ca4 Tl2 Br2'
_space_group_name_H-M_alt 'C 1 m 1'
_space_group_IT_number 8
_cell_length_a 11.956
_cell_length_b 3.630
_cell_length_c 5.289
_cell_angle_alpha 90.00
_cell_angle_beta 90.40
_cell_angle_gamma 90.00
loop_
_space_group_symop_operation_xyz
'x,y,z'
'x,-y,z'
'x+1/2,y+1/2,z'
'x+1/2,-y+1/2,z'
loop_
_atom_site_label
_atom_site_fract_x
_atom_site_fract_y
_atom_site_fract_z
Ca1 0.000 0.000 0.000
Ca2 0.249 0.500 0.501
Tl1 0.263 0.000 0.001
Br1 0.001 0.500 0.498
```

***

Entry 5:
A plane-wave DFT calculation with meta-GGA SCAN was carried out for a crystal of SrBe2SnMo relaxed with PBEsol.

## Properties
Magnetic moment ... 3.15 μB/cell
Energy of formation ... 12.034 eV/f.u.
Density of states at the Fermi level ... 3.832 states/eV/f.u.

Cell and atoms, written as CIF:
```
data_SrBe2SnMo
_chemical_formula_sum 'Sr1 Be2 Sn1 Mo1'
_space_group_name_H-M_alt 'P 4/m m m'
_space_group_IT_number 123
_space_group_name_Hall '-P 4 2'
_cell_length_a 4.713
_cell_length_b 4.713
_cell_length_c 5.594
_cell_angle_alpha 90.00
_cell_angle_beta 90.00
_cell_angle_gamma 90.00
loop_
_atom_site_label
_atom_site_fract_x
_atom_site_fract_y
_atom_site_fract_z
Sr1 0.000 0.000 0.000
Be1 0.000 0.500 0.000
Sn1 0.000 0.000 0.500
Mo1 0.500 0.500 0.500
```

***

Entry 6:
A plane-wave DFT calculation with meta-GGA SCAN was carried out for a crystal of Sc2TcSeF relaxed with PBEsol.

## Properties
Uncorrected formation energy ... -0.57 eV/atom
Magnetic moment ... 0.73 μB/cell
Density of states at the Fermi level ... 2.446 states/eV/f.u.

Cell and atoms, written as CIF:
```
data_Sc2TcSeF
_chemical_formula_sum 'Sc2 Tc1 Se1 F1'
_space_group_name_H-M_alt 'P 4/m m m'
_space_group_IT_number 123
_space_group_name_Hall '-P 4 2'
_cell_length_a 4.992
_cell_length_b 4.992
_cell_length_c 4.568
_cell_angle_alpha 90.00
_cell_angle_beta 90.00
_cell_angle_gamma 90.00
loop_
_atom_site_label
_atom_site_fract_x
_atom_site_fract_y
_atom_site_fract_z
Sc1 0.000 0.500 0.000
Tc1 0.000 0.000 0.000
Se1 0.000 0.000 0.500
F1 0.500 0.500 0.500
```

***

Entry 7:
A plane-wave DFT calculation with meta-GGA SCAN was carried out for a crystal of KTe2Os relaxed with PBEsol.

## Properties
Uncorrected formation energy ... 1.17 eV/atom
Offset from the most stable computed form ... 269.2 meV per atom
Magnetic moment ... 4.05 μB/cell
Density of states at the Fermi level ... 3.551 states/eV/f.u.

Cell and atoms, written as CIF:
```
data_KTe2Os
_chemical_formula_sum 'K4 Te8 Os4'
_space_group_name_H-M_alt 'F -4 3 m'
_space_group_IT_number 216
_space_group_name_Hall 'F -4 2 3'
_cell_length_a 7.173
_cell_length_b 7.173
_cell_length_c 7.173
_cell_angle_alpha 90.00
_cell_angle_beta 90.00
_cell_angle_gamma 90.00
loop_
_atom_site_label
_atom_site_fract_x
_atom_site_fract_y
_atom_site_fract_z
K1 0.000 0.000 0.000
Te1 0.000 0.000 0.500
Te2 0.250 0.250 0.250
Os1 0.250 0.250 0.750
```

***

Entry 8:
A plane-wave DFT calculation with meta-GGA SCAN was carried out for a crystal of Al8Ni relaxed with PBEsol.

## Properties
Magnetic moment ... 0.09 μB/cell
Energy of formation ... -0.977 eV/f.u.
Density of states at the Fermi level ... 3.479 states/eV/f.u.

Cell and atoms, written as CIF:
```
data_Al8Ni
_chemical_formula_sum 'Al16 Ni2'
_space_group_name_H-M_alt 'I 4/m m m'
_space_group_IT_number 139
_space_group_name_Hall '-I 4 2'
_cell_length_a 8.353
_cell_length_b 8.353
_cell_length_c 3.902
_cell_angle_alpha 90.00
_cell_angle_beta 90.00
_cell_angle_gamma 90.00
loop_
_atom_site_label
_atom_site_fract_x
_atom_site_fract_y
_atom_site_fract_z
Al1 0.000 0.326 0.000
Al2 0.159 0.159 0.500
Ni1 0.000 0.000 0.000
```

***

What did the fourth record say?
A plane-wave DFT calculation with meta-GGA SCAN was carried out for a crystal of Ca2TlBr relaxed with PBEsol.

## Properties
Uncorrected formation energy ... -0.96 eV/atom
Offset from the most stable computed form ... 156.9 meV per atom
Magnetic moment ... 0.66 μB/cell
Density of states at the Fermi level ... 3.503 states/eV/f.u.

Cell and atoms, written as CIF:
```
data_Ca2TlBr
_chemical_formula_sum 'Ca4 Tl2 Br2'
_space_group_name_H-M_alt 'C 1 m 1'
_space_group_IT_number 8
_cell_length_a 11.956
_cell_length_b 3.630
_cell_length_c 5.289
_cell_angle_alpha 90.00
_cell_angle_beta 90.40
_cell_angle_gamma 90.00
loop_
_space_group_symop_operation_xyz
'x,y,z'
'x,-y,z'
'x+1/2,y+1/2,z'
'x+1/2,-y+1/2,z'
loop_
_atom_site_label
_atom_site_fract_x
_atom_site_fract_y
_atom_site_fract_z
Ca1 0.000 0.000 0.000
Ca2 0.249 0.500 0.501
Tl1 0.263 0.000 0.001
Br1 0.001 0.500 0.498
```

***

Q: Look up the magnetic moment of the sixth one.
A: 0.73 μB/cell